This record from Alexandria describes a relaxed GaH2Cl6 crystal. The functional is PBE.

Summary:
The total magnetization is 1.0 μB/f.u. The symmetry is C2/c (15). Its total energy is -2.96 eV per atom. Its density of states at the Fermi level is 0.097 states/eV per cell.

Geometry as POSCAR:
```
GaH2Cl6
1.0
3.2833 1.4886 9.1383
4.6231 -7.9663 3.4160
9.0457 -0.1236 2.3223
H Cl Ga
4 12 2
direct
0.7279 0.5679 0.5852
0.4321 0.2721 0.9148
0.5679 0.7279 0.0852
0.2721 0.4321 0.4148
0.0705 0.1082 0.8000
0.8745 0.3706 0.4921
0.1082 0.0705 0.3000
0.3706 0.8745 0.9921
0.9295 0.8918 0.2000
0.3077 0.3509 0.8774
0.3509 0.3077 0.3774
0.6294 0.1255 0.0079
0.6491 0.6923 0.6226
0.1255 0.6294 0.5079
0.6923 0.6491 0.1226
0.8918 0.9295 0.7000
0.8582 0.1418 0.7500
0.1418 0.8582 0.2500
```